Pr12Nd6Al | the Alexandria database | PBE | relaxed; E = -0.341 Ry/atom; N(E_F) = 1.72 states/eV per atom
1.0
-6.8098 -3.5923 -4.1140
-0.0614 -6.4870 5.8411
-5.4328 4.6266 5.0281
Pr Nd Al
12 6 1
Cartesian
-7.8883 -4.1261 2.0357 Pr
-5.9415 -4.3694 5.3852 Pr
-7.8707 -1.1213 4.4932 Pr
-4.4158 -1.3266 4.7195 Pr
-6.3626 -1.0832 1.3700 Pr
-4.4334 -4.3314 2.2621 Pr
-2.3144 0.5246 2.5829 Pr
-10.9700 -2.7084 5.0253 Pr
-8.9424 -4.5656 7.2193 Pr
-9.9896 -5.9773 4.1723 Pr
-1.3341 -2.7442 1.7299 Pr
-3.3617 -0.8870 -0.4641 Pr
-6.5415 -7.2821 3.5744 Nd
-5.5348 -3.8753 -1.0093 Nd
-2.1184 -3.8994 5.1940 Nd
-5.7625 1.8295 3.1808 Nd
-6.7692 -1.5773 7.7645 Nd
-10.1857 -1.5532 1.5612 Nd
0.0000 0.0000 0.0000 Al